Record 1
# Mn2MoHOs (PBE, relaxed)
# Magnetization, μB/cell: 2.380
# Polymorph energy (0 for the lowest one), eV/f.u.: 0.05
# DFT total energy, eV per formula unit: -43.4
data_Mn2MoHOs
_chemical_formula_sum 'Mn2 Mo1 H1 Os1'
_space_group_name_H-M_alt 'P 4/m m m'
_space_group_IT_number 123
_space_group_name_Hall '-P 4 2'
_cell_length_a 3.7984
_cell_length_b 3.7984
_cell_length_c 3.8102
_cell_angle_alpha 90.00
_cell_angle_beta 90.00
_cell_angle_gamma 90.00
loop_
_atom_site_label
_atom_site_type_symbol
_atom_site_fract_x
_atom_site_fract_y
_atom_site_fract_z
Mn1 Mn 0.0000 0.5000 0.0000
Mo1 Mo 0.0000 0.0000 0.5000
H1 H 0.5000 0.5000 0.0000
Os1 Os 0.5000 0.5000 0.5000

Record 2
# MnMoHOs2 (PBE, relaxed)
# Magnetization, μB/cell: 1.396
# DFT total energy, eV per formula unit: -45.4
data_MnMoHOs2
_chemical_formula_sum 'Mn1 Mo1 H1 Os2'
_space_group_name_H-M_alt 'P 4/m m m'
_space_group_IT_number 123
_space_group_name_Hall '-P 4 2'
_cell_length_a 3.9025
_cell_length_b 3.9025
_cell_length_c 3.8343
_cell_angle_alpha 90.00
_cell_angle_beta 90.00
_cell_angle_gamma 90.00
loop_
_atom_site_label
_atom_site_type_symbol
_atom_site_fract_x
_atom_site_fract_y
_atom_site_fract_z
Mn1 Mn 0.0000 0.0000 0.0000
Mo1 Mo 0.5000 0.5000 0.0000
H1 H 0.0000 0.0000 0.5000
Os1 Os 0.0000 0.5000 0.5000

Record 3
# Mn2MoHOs (PBE, relaxed)
# Magnetization, μB/cell: 2.281
# Polymorph energy (0 for the lowest one), eV/f.u.: 0.00
# DFT total energy, eV per formula unit: -43.5
data_Mn2MoHOs
_chemical_formula_sum 'Mn2 Mo1 H1 Os1'
_space_group_name_H-M_alt 'P 4/m m m'
_space_group_IT_number 123
_space_group_name_Hall '-P 4 2'
_cell_length_a 3.7613
_cell_length_b 3.7613
_cell_length_c 3.8714
_cell_angle_alpha 90.00
_cell_angle_beta 90.00
_cell_angle_gamma 90.00
loop_
_atom_site_label
_atom_site_type_symbol
_atom_site_fract_x
_atom_site_fract_y
_atom_site_fract_z
Mn1 Mn 0.0000 0.5000 0.0000
Mo1 Mo 0.0000 0.0000 0.5000
H1 H 0.0000 0.0000 0.0000
Os1 Os 0.5000 0.5000 0.5000

Record 4
# MnMo2HPd (PBE, relaxed)
# Magnetization, μB/cell: 0.000
# DFT total energy, eV per formula unit: -38.9
data_MnMo2HPd
_chemical_formula_sum 'Mn1 Mo2 H1 Pd1'
_space_group_name_H-M_alt 'P 4/m m m'
_space_group_IT_number 123
_space_group_name_Hall '-P 4 2'
_cell_length_a 3.9479
_cell_length_b 3.9479
_cell_length_c 3.8179
_cell_angle_alpha 90.00
_cell_angle_beta 90.00
_cell_angle_gamma 90.00
loop_
_atom_site_label
_atom_site_type_symbol
_atom_site_fract_x
_atom_site_fract_y
_atom_site_fract_z
Mn1 Mn 0.0000 0.0000 0.0000
Mo1 Mo 0.0000 0.5000 0.5000
H1 H 0.0000 0.0000 0.5000
Pd1 Pd 0.5000 0.5000 0.0000

Record 5
# MnMoHRu2 (PBE, relaxed)
# Magnetization, μB/cell: 1.447
# Polymorph energy (0 for the lowest one), eV/f.u.: 0.00
# DFT total energy, eV per formula unit: -41.9
data_MnMoHRu2
_chemical_formula_sum 'Mn1 Mo1 H1 Ru2'
_space_group_name_H-M_alt 'P 4/m m m'
_space_group_IT_number 123
_space_group_name_Hall '-P 4 2'
_cell_length_a 3.8895
_cell_length_b 3.8895
_cell_length_c 3.8017
_cell_angle_alpha 90.00
_cell_angle_beta 90.00
_cell_angle_gamma 90.00
loop_
_atom_site_label
_atom_site_type_symbol
_atom_site_fract_x
_atom_site_fract_y
_atom_site_fract_z
Mn1 Mn 0.0000 0.0000 0.0000
Mo1 Mo 0.5000 0.5000 0.0000
H1 H 0.0000 0.0000 0.5000
Ru1 Ru 0.0000 0.5000 0.5000

Record 6
# Mn2MoHRu (PBE, relaxed)
# Magnetization, μB/cell: 2.504
# Polymorph energy (0 for the lowest one), eV/f.u.: 0.00
# DFT total energy, eV per formula unit: -41.6
data_Mn2MoHRu
_chemical_formula_sum 'Mn2 Mo1 H1 Ru1'
_space_group_name_H-M_alt 'P 4/m m m'
_space_group_IT_number 123
_space_group_name_Hall '-P 4 2'
_cell_length_a 3.7898
_cell_length_b 3.7898
_cell_length_c 3.7938
_cell_angle_alpha 90.00
_cell_angle_beta 90.00
_cell_angle_gamma 90.00
loop_
_atom_site_label
_atom_site_type_symbol
_atom_site_fract_x
_atom_site_fract_y
_atom_site_fract_z
Mn1 Mn 0.0000 0.5000 0.0000
Mo1 Mo 0.0000 0.0000 0.5000
H1 H 0.5000 0.5000 0.0000
Ru1 Ru 0.5000 0.5000 0.5000

Record 7
# MnMo2HRu (PBE, relaxed)
# Magnetization, μB/cell: 1.463
# Polymorph energy (0 for the lowest one), eV/f.u.: 0.00
# DFT total energy, eV per formula unit: -43.1
data_MnMo2HRu
_chemical_formula_sum 'Mn1 Mo2 H1 Ru1'
_space_group_name_H-M_alt 'P 4/m m m'
_space_group_IT_number 123
_space_group_name_Hall '-P 4 2'
_cell_length_a 3.9593
_cell_length_b 3.9593
_cell_length_c 3.7973
_cell_angle_alpha 90.00
_cell_angle_beta 90.00
_cell_angle_gamma 90.00
loop_
_atom_site_label
_atom_site_type_symbol
_atom_site_fract_x
_atom_site_fract_y
_atom_site_fract_z
Mn1 Mn 0.0000 0.0000 0.0000
Mo1 Mo 0.0000 0.5000 0.5000
H1 H 0.0000 0.0000 0.5000
Ru1 Ru 0.5000 0.5000 0.0000

Record 8
# MnMoHRu2 (PBE, relaxed)
# Magnetization, μB/cell: 2.027
# Polymorph energy (0 for the lowest one), eV/f.u.: 3.97
# DFT total energy, eV per formula unit: -38.0
data_MnMoHRu2
_chemical_formula_sum 'Mn1 Mo1 H1 Ru2'
_space_group_name_H-M_alt 'P 4/m m m'
_space_group_IT_number 123
_space_group_name_Hall '-P 4 2'
_cell_length_a 4.6865
_cell_length_b 4.6865
_cell_length_c 2.9372
_cell_angle_alpha 90.00
_cell_angle_beta 90.00
_cell_angle_gamma 90.00
loop_
_atom_site_label
_atom_site_type_symbol
_atom_site_fract_x
_atom_site_fract_y
_atom_site_fract_z
Mn1 Mn 0.0000 0.0000 0.0000
Mo1 Mo 0.5000 0.5000 0.5000
H1 H 0.0000 0.0000 0.5000
Ru1 Ru 0.0000 0.5000 0.0000

Record 9
# MnMo2HRu (PBE, relaxed)
# Magnetization, μB/cell: 1.825
# Polymorph energy (0 for the lowest one), eV/f.u.: 0.17
# DFT total energy, eV per formula unit: -42.9
data_MnMo2HRu
_chemical_formula_sum 'Mn1 Mo2 H1 Ru1'
_space_group_name_H-M_alt 'P 4/m m m'
_space_group_IT_number 123
_space_group_name_Hall '-P 4 2'
_cell_length_a 3.9457
_cell_length_b 3.9457
_cell_length_c 3.8811
_cell_angle_alpha 90.00
_cell_angle_beta 90.00
_cell_angle_gamma 90.00
loop_
_atom_site_label
_atom_site_type_symbol
_atom_site_fract_x
_atom_site_fract_y
_atom_site_fract_z
Mn1 Mn 0.0000 0.0000 0.0000
Mo1 Mo 0.0000 0.5000 0.5000
H1 H 0.5000 0.5000 0.5000
Ru1 Ru 0.5000 0.5000 0.0000

Record 10
# MnMoHRu2 (PBE, relaxed)
# Magnetization, μB/cell: 1.479
# Polymorph energy (0 for the lowest one), eV/f.u.: 0.31
# DFT total energy, eV per formula unit: -41.6
data_MnMoHRu2
_chemical_formula_sum 'Mn1 Mo1 H1 Ru2'
_space_group_name_H-M_alt 'P 4/m m m'
_space_group_IT_number 123
_space_group_name_Hall '-P 4 2'
_cell_length_a 3.8644
_cell_length_b 3.8644
_cell_length_c 3.9086
_cell_angle_alpha 90.00
_cell_angle_beta 90.00
_cell_angle_gamma 90.00
loop_
_atom_site_label
_atom_site_type_symbol
_atom_site_fract_x
_atom_site_fract_y
_atom_site_fract_z
Mn1 Mn 0.0000 0.0000 0.0000
Mo1 Mo 0.5000 0.5000 0.0000
H1 H 0.5000 0.5000 0.5000
Ru1 Ru 0.0000 0.5000 0.5000

Record 11
# Mn2MoHRu (PBE, relaxed)
# Magnetization, μB/cell: 2.417
# Polymorph energy (0 for the lowest one), eV/f.u.: 0.10
# DFT total energy, eV per formula unit: -41.5
data_Mn2MoHRu
_chemical_formula_sum 'Mn2 Mo1 H1 Ru1'
_space_group_name_H-M_alt 'P 4/m m m'
_space_group_IT_number 123
_space_group_name_Hall '-P 4 2'
_cell_length_a 3.7464
_cell_length_b 3.7464
_cell_length_c 3.8848
_cell_angle_alpha 90.00
_cell_angle_beta 90.00
_cell_angle_gamma 90.00
loop_
_atom_site_label
_atom_site_type_symbol
_atom_site_fract_x
_atom_site_fract_y
_atom_site_fract_z
Mn1 Mn 0.0000 0.5000 0.0000
Mo1 Mo 0.0000 0.0000 0.5000
H1 H 0.0000 0.0000 0.0000
Ru1 Ru 0.5000 0.5000 0.5000

Record 12
# Mn2MoHS (PBE, relaxed)
# Magnetization, μB/cell: 5.709
# DFT total energy, eV per formula unit: -32.3
data_Mn2MoHS
_chemical_formula_sum 'Mn2 Mo1 H1 S1'
_space_group_name_H-M_alt 'P 4/m m m'
_space_group_IT_number 123
_space_group_name_Hall '-P 4 2'
_cell_length_a 4.7335
_cell_length_b 4.7335
_cell_length_c 3.4378
_cell_angle_alpha 90.00
_cell_angle_beta 90.00
_cell_angle_gamma 90.00
loop_
_atom_site_label
_atom_site_type_symbol
_atom_site_fract_x
_atom_site_fract_y
_atom_site_fract_z
Mn1 Mn 0.0000 0.5000 0.0000
Mo1 Mo 0.0000 0.0000 0.0000
H1 H 0.0000 0.0000 0.5000
S1 S 0.5000 0.5000 0.5000

Record 13
# Mn2SbMoH (PBE, relaxed)
# Magnetization, μB/cell: 5.333
# DFT total energy, eV per formula unit: -36.2
data_Mn2SbMoH
_chemical_formula_sum 'Mn2 Sb1 Mo1 H1'
_space_group_name_H-M_alt 'P 4/m m m'
_space_group_IT_number 123
_space_group_name_Hall '-P 4 2'
_cell_length_a 3.9404
_cell_length_b 3.9404
_cell_length_c 4.0712
_cell_angle_alpha 90.00
_cell_angle_beta 90.00
_cell_angle_gamma 90.00
loop_
_atom_site_label
_atom_site_type_symbol
_atom_site_fract_x
_atom_site_fract_y
_atom_site_fract_z
Mn1 Mn 0.0000 0.5000 0.0000
Sb1 Sb 0.0000 0.0000 0.5000
Mo1 Mo 0.5000 0.5000 0.5000
H1 H 0.5000 0.5000 0.0000

Record 14
# Mn2SiMoH (PBE, relaxed)
# Magnetization, μB/cell: 0.001
# DFT total energy, eV per formula unit: -37.9
data_Mn2SiMoH
_chemical_formula_sum 'Mn2 Si1 Mo1 H1'
_space_group_name_H-M_alt 'P 4/m m m'
_space_group_IT_number 123
_space_group_name_Hall '-P 4 2'
_cell_length_a 3.6971
_cell_length_b 3.6971
_cell_length_c 3.8076
_cell_angle_alpha 90.00
_cell_angle_beta 90.00
_cell_angle_gamma 90.00
loop_
_atom_site_label
_atom_site_type_symbol
_atom_site_fract_x
_atom_site_fract_y
_atom_site_fract_z
Mn1 Mn 0.0000 0.5000 0.0000
Si1 Si 0.0000 0.0000 0.5000
Mo1 Mo 0.5000 0.5000 0.5000
H1 H 0.5000 0.5000 0.0000